The following is a DFT calculation (GGA-PBE) of crystalline Al2SbMo at its relaxed geometry.

Cell and atoms, written as extended XYZ:
```
4
Lattice="2.972 -0.035 0.000 -0.656 2.899 0.000 0.000 0.000 8.652" Properties=species:S:1:pos:R:3 pbc="T T T"
Al 0.000 0.000 0.291
Al 0.000 0.000 4.035
Mo 1.158 1.432 2.163
Sb 1.158 1.432 6.489
```

## Properties
magnetic moment	0.00	μB per atom
SG	Cmmm
crystal system	orthorhombic
formation energy from raw total energies	0.15	eV per atom
V	74.3	Å³ per cell

=====

The following is a DFT calculation (GGA-PBE) of crystalline Ta2TlCd at its relaxed geometry.

Cell and atoms, written as extended XYZ:
```
4
Lattice="5.321 -0.006 -0.003 4.448 2.921 -0.003 0.867 0.259 5.172" Properties=species:S:1:pos:R:3 pbc="T T T"
Ta 5.311 1.585 2.527
Ta 9.777 2.917 0.050
Tl 7.977 2.380 3.874
Cd 2.659 0.793 1.291
```

## Properties
magnetic moment	0.00	μB per atom
SG	C2/m
crystal system	monoclinic
E_form	1.936	eV per formula unit
V	80.5	Å³ per cell

=====

The following is a DFT calculation (GGA-PBE) of crystalline PmGdGa2 at its relaxed geometry.

Cell and atoms, written as extended XYZ:
```
4
Lattice="3.737 0.000 0.000 1.869 3.237 0.000 1.869 1.079 8.815" Properties=species:S:1:pos:R:3 pbc="T T T"
Ga 5.606 3.237 6.640
Ga 1.869 1.079 2.174
Pm 3.737 2.158 4.407
Gd 0.000 0.000 0.000
```

## Properties
magnetic moment	1.77	μB per atom
SG	R-3m
crystal system	trigonal
E_form	-1.559	eV per formula unit
relative energy among the computed polymorphs	0.192	eV per atom
V	106.6	Å³ per cell

=====

The following is a DFT calculation (GGA-PBE) of crystalline BaLaCr2Ru at its relaxed geometry.

Cell and atoms, written as extended XYZ:
```
5
Lattice="-1.564 -1.438 4.247 2.880 -5.168 -0.689 3.852 1.873 2.052" Properties=species:S:1:pos:R:3 pbc="T T T"
Cr 1.926 0.936 1.026
Cr -0.782 -0.719 2.124
La 0.000 0.000 0.000
Ru 2.584 -2.367 2.805
Ba 1.440 -2.584 -0.345
```

## Properties
magnetic moment	0.78	μB per atom
SG	P4/mmm
crystal system	tetragonal
E_form	10.057	eV per formula unit
V	134.3	Å³ per cell

=====

What did the second record say?
The following is a DFT calculation (GGA-PBE) of crystalline Ta2TlCd at its relaxed geometry.

Cell and atoms, written as extended XYZ:
```
4
Lattice="5.321 -0.006 -0.003 4.448 2.921 -0.003 0.867 0.259 5.172" Properties=species:S:1:pos:R:3 pbc="T T T"
Ta 5.311 1.585 2.527
Ta 9.777 2.917 0.050
Tl 7.977 2.380 3.874
Cd 2.659 0.793 1.291
```

## Properties
magnetic moment	0.00	μB per atom
SG	C2/m
crystal system	monoclinic
E_form	1.936	eV per formula unit
V	80.5	Å³ per cell